Record 1
LiNpGa4Cu2 | PBE | relaxed

Summary:
Its crystal system is trigonal. Its total magnetic moment is 4.03 μB per formula unit. As for the formation energy from the elements: -130 meV per atom. The energy is -4.52 eV per atom.

Lattice parameters (Å, degrees): 4.2311 4.2311 25.4923 90.00 90.00 120.00
Space group R-3m (No. 166, hexagonal axes)
One atom of each set of equivalent atoms:
Li 0.0000 0.0000 0.0000 [3 per cell]
Np 0.0000 0.0000 0.5000 [3 per cell]
Ga 0.0000 0.0000 0.1019 [6 per cell]
Ga 0.0000 0.0000 0.3732 [6 per cell]
Cu 0.0000 0.0000 0.2666 [6 per cell]

***

Record 2
LiPaGa4Cu2 | PBE | relaxed

Summary:
Its crystal system is trigonal. Its total magnetic moment is 0.00 μB per formula unit. As for the formation energy from the elements: -215 meV per atom. The energy is -4.18 eV per atom.

Lattice parameters (Å, degrees): 4.2398 4.2398 25.1492 90.00 90.00 120.00
Space group R-3m (No. 166, hexagonal axes)
One atom of each set of equivalent atoms:
Li 0.0000 0.0000 0.0000 [3 per cell]
Pa 0.0000 0.0000 0.5000 [3 per cell]
Ga 0.0000 0.0000 0.1027 [6 per cell]
Ga 0.0000 0.0000 0.3711 [6 per cell]
Cu 0.0000 0.0000 0.2627 [6 per cell]

***

Record 3
LiGaCuPb | PBE | relaxed

Summary:
Its crystal system is cubic. Its total magnetic moment is 0.00 μB per formula unit. As for the formation energy from the elements: -16 meV per atom. The energy is -3.20 eV per atom.

Lattice parameters (Å, degrees): 6.649 6.649 6.649 90.00 90.00 90.00
Space group F-43m (No. 216)
One atom of each set of equivalent atoms:
Li 0.000 0.000 0.000 [4 per cell]
Ga 0.250 0.250 0.750 [4 per cell]
Cu 0.000 0.000 0.500 [4 per cell]
Pb 0.250 0.250 0.250 [4 per cell]

***

Record 4
Li2Ga5CuPd2 | PBE | relaxed

Summary:
Its crystal system is tetragonal. Its total magnetic moment is 0.00 μB per formula unit. As for the formation energy from the elements: -338 meV per atom. The energy is -3.68 eV per atom.

Lattice parameters (Å, degrees): 8.920 8.920 4.057 90.00 90.00 90.00
Space group P4/mbm (No. 127)
One atom of each set of equivalent atoms:
Li 0.175 0.325 0.000 [4 per cell]
Ga 0.000 0.500 0.500 [2 per cell]
Ga 0.076 0.807 0.500 [8 per cell]
Cu 0.000 0.000 0.000 [2 per cell]
Pd 0.121 0.621 0.000 [4 per cell]

***

Record 5
LiGa4CuPd2 | PBE | relaxed

Summary:
Its crystal system is trigonal. Its total magnetic moment is 0.00 μB per formula unit. As for the formation energy from the elements: -393 meV per atom. The energy is -3.96 eV per atom.

Lattice parameters (Å, degrees): 4.3659 4.3659 21.3836 90.00 90.00 120.00
Space group R-3m (No. 166, hexagonal axes)
One atom of each set of equivalent atoms:
Li 0.0000 0.0000 0.0000 [3 per cell]
Ga 0.0000 0.0000 0.1255 [6 per cell]
Ga 0.0000 0.0000 0.3766 [6 per cell]
Cu 0.0000 0.0000 0.5000 [3 per cell]
Pd 0.0000 0.0000 0.2525 [6 per cell]

***

Record 6
Li2PmGa4Cu | PBE | relaxed

Summary:
Its crystal system is trigonal. Its total magnetic moment is 0.00 μB per formula unit. As for the formation energy from the elements: -352 meV per atom. The energy is -3.45 eV per atom.

Lattice parameters (Å, degrees): 4.2973 4.2973 26.2586 90.00 90.00 120.00
Space group R-3m (No. 166, hexagonal axes)
One atom of each set of equivalent atoms:
Li 0.0000 0.0000 0.2303 [6 per cell]
Pm 0.0000 0.0000 0.0000 [3 per cell]
Ga 0.0000 0.0000 0.1234 [6 per cell]
Ga 0.0000 0.0000 0.4030 [6 per cell]
Cu 0.0000 0.0000 0.5000 [3 per cell]

***

Record 7
LiPmGa4Cu2 | PBE | relaxed

Summary:
Its crystal system is trigonal. Its total magnetic moment is 0.00 μB per formula unit. As for the formation energy from the elements: -346 meV per atom. The energy is -3.72 eV per atom.

Lattice parameters (Å, degrees): 4.2286 4.2286 26.2505 90.00 90.00 120.00
Space group R-3m (No. 166, hexagonal axes)
One atom of each set of equivalent atoms:
Li 0.0000 0.0000 0.0000 [3 per cell]
Pm 0.0000 0.0000 0.5000 [3 per cell]
Ga 0.0000 0.0000 0.0987 [6 per cell]
Ga 0.0000 0.0000 0.3735 [6 per cell]
Cu 0.0000 0.0000 0.2693 [6 per cell]

***

Record 8
LiPm2Ga3Cu4 | PBE | relaxed

Summary:
Its crystal system is tetragonal. Its total magnetic moment is 0.00 μB per formula unit. As for the formation energy from the elements: -362 meV per atom. The energy is -4.05 eV per atom.

Lattice parameters (Å, degrees): 4.208 4.208 10.148 90.00 90.00 90.00
Space group P-4m2 (No. 115)
One atom of each set of equivalent atoms:
Li 0.000 0.000 0.000 [1 per cell]
Pm 0.000 0.500 0.737 [2 per cell]
Ga 0.000 0.500 0.371 [2 per cell]
Ga 0.500 0.500 0.000 [1 per cell]
Cu 0.000 0.000 0.500 [1 per cell]
Cu 0.000 0.500 0.133 [2 per cell]
Cu 0.500 0.500 0.500 [1 per cell]

***

Record 9
LiPm4Ga2Cu | PBE | relaxed

Summary:
Its crystal system is trigonal. Its total magnetic moment is 0.00 μB per formula unit. As for the formation energy from the elements: -349 meV per atom. The energy is -4.23 eV per atom.

Lattice parameters (Å, degrees): 5.1881 5.1881 25.3599 90.00 90.00 120.00
Space group R-3m (No. 166, hexagonal axes)
One atom of each set of equivalent atoms:
Li 0.0000 0.0000 0.0000 [3 per cell]
Pm 0.0000 0.0000 0.1304 [6 per cell]
Pm 0.0000 0.0000 0.3810 [6 per cell]
Ga 0.0000 0.0000 0.2570 [6 per cell]
Cu 0.0000 0.0000 0.5000 [3 per cell]

***

Record 10
LiPm2GaCu6 | PBE | relaxed

Summary:
Its crystal system is monoclinic. Its total magnetic moment is 0.00 μB per formula unit. As for the formation energy from the elements: -114 meV per atom. The energy is -4.02 eV per atom.

Lattice parameters (Å, degrees): 11.989 5.005 8.451 90.00 134.66 90.00
Space group C2/m (No. 12)
One atom of each set of equivalent atoms:
Li 0.000 0.000 0.000 [2 per cell]
Pm 0.242 0.000 0.702 [4 per cell]
Ga 0.000 0.500 0.500 [2 per cell]
Cu 0.008 0.251 0.759 [8 per cell]
Cu 0.248 0.000 0.068 [4 per cell]

***

Record 11
LiPmGa2Cu | PBE | relaxed

Summary:
Its crystal system is tetragonal. Its total magnetic moment is 0.00 μB per formula unit. As for the formation energy from the elements: -403 meV per atom. The energy is -3.77 eV per atom.

Lattice parameters (Å, degrees): 4.298 4.298 10.034 90.00 90.00 90.00
Space group I-4m2 (No. 119)
One atom of each set of equivalent atoms:
Li 0.000 0.000 0.000 [2 per cell]
Pm 0.000 0.500 0.250 [2 per cell]
Ga 0.000 0.500 0.627 [4 per cell]
Cu 0.000 0.000 0.500 [2 per cell]

***

Record 12
LiPr2GaCu6 | PBE | relaxed

Summary:
Its crystal system is monoclinic. Its total magnetic moment is 0.00 μB per formula unit. As for the formation energy from the elements: -113 meV per atom. The energy is -4.02 eV per atom.

Lattice parameters (Å, degrees): 11.994 5.041 8.443 90.00 133.73 90.00
Space group C2/m (No. 12)
One atom of each set of equivalent atoms:
Li 0.000 0.000 0.000 [2 per cell]
Pr 0.245 0.000 0.789 [4 per cell]
Ga 0.000 0.500 0.500 [2 per cell]
Cu 0.014 0.250 0.264 [8 per cell]
Cu 0.249 0.000 0.426 [4 per cell]

***

> Look up the energy of the fifth one.

-3.96 eV per atom